# 1
An optimized crystal structure of BeTcOs2. Source: Alexandria, functional GGA-PBE.

Energy of formation (eV/f.u.): 0.8
SG: I-4m2, No. 119

a = 3.639 Å, b = 3.639 Å, c = 8.063 Å
α = 90.00°, β = 90.00°, γ = 90.00°
Positions (direct):
Be 0.000 0.000 0.000
Be 0.500 0.500 0.500
Tc 0.000 0.500 0.250
Tc 0.500 0.000 0.750
Os 0.000 0.000 0.500
Os 0.000 0.500 0.750
Os 0.500 0.000 0.250
Os 0.500 0.500 0.000

***

# 2
An optimized crystal structure of BaHgC3. Source: Alexandria, functional GGA-PBE.

Energy of formation (eV/f.u.): 16.9
SG: Pm-3m, No. 221

a = 5.777 Å, b = 5.777 Å, c = 5.777 Å
α = 90.00°, β = 90.00°, γ = 90.00°
Positions (direct):
Ba 0.000 0.000 0.000
Hg 0.500 0.500 0.500
C 0.000 0.000 0.500
C 0.000 0.500 0.000
C 0.500 0.000 0.000

***

# 3
An optimized crystal structure of TlCd2Au. Source: Alexandria, functional GGA-PBE.

Energy of formation (eV/f.u.): -0.1
SG: Pmma, No. 51

a = 6.112 Å, b = 4.243 Å, c = 7.205 Å
α = 90.00°, β = 90.00°, γ = 90.00°
Positions (direct):
Tl 0.000 0.000 0.000
Tl 0.500 0.000 0.000
Cd 0.000 0.000 0.500
Cd 0.250 0.500 0.274
Cd 0.500 0.000 0.500
Cd 0.750 0.500 0.726
Au 0.250 0.500 0.706
Au 0.750 0.500 0.294

***

# 4
An optimized crystal structure of KS2ClF. Source: Alexandria, functional GGA-PBE.

Uncorrected formation energy (eV/atom): 0.576
SG: P4/mmm, No. 123

a = 6.544 Å, b = 6.544 Å, c = 5.783 Å
α = 90.00°, β = 90.00°, γ = 90.00°
Positions (direct):
K 0.000 0.000 0.000
S 0.000 0.500 0.000
S 0.500 0.000 0.000
Cl 0.000 0.000 0.500
F 0.500 0.500 0.500

***

# 5
An optimized crystal structure of LiAl2Pt9. Source: Alexandria, functional GGA-PBE.

Energy of formation (eV/f.u.): -7.1
SG: P4/mmm, No. 123

a = 3.913 Å, b = 3.913 Å, c = 11.694 Å
α = 90.00°, β = 90.00°, γ = 90.00°
Positions (direct):
Li 0.000 0.000 0.000
Al 0.000 0.000 0.330
Al 0.000 0.000 0.670
Pt 0.000 0.500 0.166
Pt 0.000 0.500 0.500
Pt 0.000 0.500 0.834
Pt 0.500 0.000 0.166
Pt 0.500 0.000 0.500
Pt 0.500 0.000 0.834
Pt 0.500 0.500 0.000
Pt 0.500 0.500 0.333
Pt 0.500 0.500 0.667

***

# 6
An optimized crystal structure of AcUBiO2. Source: Alexandria, functional GGA-PBE.

Uncorrected formation energy (eV/atom): -2.301
SG: I4mm, No. 107

a = 4.060 Å, b = 4.060 Å, c = 13.504 Å
α = 90.00°, β = 90.00°, γ = 90.00°
Positions (direct):
Ac 0.000 0.000 0.000
Ac 0.500 0.500 0.500
U 0.000 0.000 0.309
U 0.500 0.500 0.809
Bi 0.000 0.000 0.661
Bi 0.500 0.500 0.161
O 0.000 0.500 0.388
O 0.000 0.500 0.888
O 0.500 0.000 0.388
O 0.500 0.000 0.888

***

# 7
An optimized crystal structure of ScHgSb. Source: Alexandria, functional GGA-PBE.

Uncorrected formation energy (eV/atom): -0.364
SG: P3m1, No. 156

a = 4.451 Å, b = 4.451 Å, c = 4.441 Å
α = 90.00°, β = 90.00°, γ = 120.00°
Positions (direct):
Sc 0.000 0.000 0.000
Hg 0.667 0.333 0.307
Sb 0.333 0.667 0.649

***

# 8
An optimized crystal structure of Ac12MgSi6. Source: Alexandria, functional GGA-PBE.

Uncorrected formation energy (eV/atom): -0.378
SG: Im-3, No. 204

a = 9.566 Å, b = 9.566 Å, c = 9.566 Å
α = 109.47°, β = 109.47°, γ = 109.47°
Positions (direct):
Ac 0.114 0.302 0.811
Ac 0.189 0.491 0.302
Ac 0.189 0.886 0.698
Ac 0.302 0.189 0.491
Ac 0.302 0.811 0.114
Ac 0.491 0.302 0.189
Ac 0.509 0.698 0.811
Ac 0.698 0.189 0.886
Ac 0.698 0.811 0.509
Ac 0.811 0.114 0.302
Ac 0.811 0.509 0.698
Ac 0.886 0.698 0.189
Mg 0.000 0.000 0.000
Si 0.109 0.500 0.609
Si 0.391 0.891 0.500
Si 0.500 0.391 0.891
Si 0.500 0.609 0.109
Si 0.609 0.109 0.500
Si 0.891 0.500 0.391

***

no.,final energy (eV per atom)
1,-8.94
2,-2.61
3,-1.89
4,-2.04
5,-5.91
6,-8.14
7,-3.95
8,-4.77